VASP calculation (PBE-GGA) on CaAc2Pm after structural relaxation.

Cell and atoms, written as POSCAR:
```
CaAc2Pm
1.0
1.914 1.105 13.521
-1.914 1.105 13.521
0.000 -2.210 13.521
Ca Ac Pm
1 2 1
Cartesian
0.000 0.000 0.000 Ca
0.000 0.000 3.712 Ac
0.000 0.000 36.851 Ac
0.000 0.000 20.281 Pm
```

crystal system = trigonal
space-group type = No. 166
energy of formation = 133 meV per atom
DOS at the Fermi energy = 5.0 states/eV/f.u.
ΔE to the lowest computed polymorph = 109 meV/atom

VASP calculation (PBE-GGA) on CaAc6Pm12 after structural relaxation.

Cell and atoms, written as POSCAR:
```
CaAc6Pm12
1.0
7.008 4.046 4.462
-7.008 4.046 4.462
0.000 -8.092 4.462
Ca Ac Pm
1 6 12
Cartesian
0.000 0.000 0.000 Ca
0.000 -4.491 3.887 Ac
-3.889 2.245 3.887 Ac
-3.889 -2.245 9.500 Ac
3.889 2.245 3.887 Ac
3.889 -2.245 9.500 Ac
0.000 4.491 9.500 Ac
-1.975 -1.141 3.547 Pm
-1.787 -3.095 6.693 Pm
-3.573 0.000 6.693 Pm
1.976 -1.141 3.547 Pm
0.000 2.281 3.547 Pm
1.787 -3.095 6.693 Pm
-1.787 3.095 6.693 Pm
0.000 -2.281 9.839 Pm
-1.975 1.141 9.839 Pm
3.573 0.000 6.693 Pm
1.787 3.095 6.693 Pm
1.975 1.141 9.839 Pm
```

crystal system = trigonal
space-group type = No. 166
energy of formation = 227 meV per atom
DOS at the Fermi energy = 32.2 states/eV/f.u.

VASP calculation (PBE-GGA) on Ca2Ac5Pm after structural relaxation.

Cell and atoms, written as POSCAR:
```
Ca2Ac5Pm
1.0
-2.784 2.784 11.089
2.784 -2.784 11.089
2.784 2.784 -11.089
Ca Ac Pm
2 5 1
Cartesian
0.000 0.000 5.533 Ca
0.000 0.000 16.645 Ca
0.000 0.000 0.000 Ac
2.784 0.000 2.685 Ac
2.784 0.000 8.404 Ac
0.000 2.784 2.685 Ac
0.000 2.784 8.404 Ac
0.000 0.000 11.089 Pm
```

crystal system = tetragonal
space-group type = No. 139
energy of formation = 31 meV per atom
DOS at the Fermi energy = 13.8 states/eV/f.u.

VASP calculation (PBE-GGA) on Ca5Ac12Pm2 after structural relaxation.

Cell and atoms, written as POSCAR:
```
Ca5Ac12Pm2
1.0
9.717 -6.433 0.000
9.717 6.433 0.000
-1.431 0.000 6.595
Ca Ac Pm
5 12 2
Cartesian
0.000 0.000 0.000 Ca
4.130 0.000 0.427 Ca
5.351 0.000 4.240 Ca
12.652 0.000 2.354 Ca
13.873 0.000 6.168 Ca
5.487 3.134 2.005 Ac
1.304 0.000 3.446 Ac
6.499 3.270 5.818 Ac
11.504 3.270 0.777 Ac
8.363 0.000 1.490 Ac
12.516 3.134 4.589 Ac
5.487 -3.134 2.005 Ac
9.640 0.000 5.104 Ac
6.499 -3.270 5.818 Ac
11.504 -3.270 0.777 Ac
16.699 0.000 3.149 Ac
12.516 -3.134 4.589 Ac
9.002 3.314 3.297 Pm
9.002 -3.314 3.297 Pm
```

crystal system = monoclinic
space-group type = No. 12
energy of formation = 105 meV per atom
DOS at the Fermi energy = 30.3 states/eV/f.u.